# Li5V6O5F19

A relaxed structure of Li5V6O5F19 (PBE with a Hubbard U, Alexandria via LeMat-Bulk).

Results
As for the total magnetization: 6.000 μB/cell. Its total DFT energy (no corrections) is -5.8991 eV/atom. For the density, the calculation gives 2.83 Mg/m³.

a b c (Å): 5.211 5.406 16.425
angles (deg): 81.93 89.55 89.63
Fractional coordinates of all 35 atoms:
Li1 0.000 0.000 0.000
Li2 0.005 0.642 0.674
Li3 0.273 0.714 0.374
Li4 0.464 0.551 0.985
Li5 0.516 0.224 0.654
V1 0.179 0.732 0.162
V2 0.191 0.378 0.833
V3 0.251 0.041 0.506
V4 0.689 0.839 0.835
V5 0.711 0.210 0.165
V6 0.758 0.535 0.497
O1 0.022 0.714 0.479
O2 0.435 0.276 0.531
O3 0.438 0.634 0.855
O4 0.925 0.936 0.138
O5 0.940 0.581 0.812
F1 0.002 0.065 0.829
F2 0.007 0.426 0.140
F3 0.128 0.935 0.616
F4 0.135 0.645 0.273
F5 0.161 0.306 0.952
F6 0.279 0.773 0.046
F7 0.286 0.401 0.719
F8 0.314 0.047 0.393
F9 0.414 0.999 0.184
F10 0.499 0.507 0.174
F11 0.501 0.145 0.851
F12 0.519 0.782 0.530
F13 0.598 0.568 0.394
F14 0.637 0.274 0.053
F15 0.660 0.933 0.720
F16 0.770 0.792 0.953
F17 0.786 0.163 0.269
F18 0.803 0.439 0.617
F19 0.931 0.224 0.476